# 1
The following is a GGA-PBE calculation of ErMg4Cu5 after structural relaxation, from the Alexandria database.

Values from the calculation:
**Crystal system**: tetragonal
**VASP energy**: -0.2397 Ry/atom

Lattice parameters (Å, degrees): 3.243 3.243 15.825 90.00 90.00 90.00
Space group P4/mmm (No. 123)
Inequivalent atoms, fractional coordinates:
Er 0.000 0.000 0.000
Mg 0.000 0.000 0.211
Mg 0.000 0.000 0.405
Cu 0.500 0.500 0.117
Cu 0.500 0.500 0.309
Cu 0.500 0.500 0.500


# 2
The following is a GGA-PBE calculation of Ba3FePb after structural relaxation, from the Alexandria database.

Values from the calculation:
**Relative energy among the computed polymorphs**: 0 meV/atom
**Crystal system**: cubic

Lattice parameters (Å, degrees): 5.731 5.731 5.731 90.00 90.00 90.00
Space group Pm-3m (No. 221)
Inequivalent atoms, fractional coordinates:
Ba 0.000 0.000 0.500
Fe 0.000 0.000 0.000
Pb 0.500 0.500 0.500


# 3
The following is a GGA-PBE calculation of Pr5Tl2CdRh2 after structural relaxation, from the Alexandria database.

Values from the calculation:
**Crystal system**: tetragonal
**VASP energy**: -0.3569 Ry/atom

Lattice parameters (Å, degrees): 12.189 12.189 3.860 90.00 90.00 90.00
Space group P4/mbm (No. 127)
Inequivalent atoms, fractional coordinates:
Pr 0.000 0.500 0.000
Pr 0.078 0.206 0.000
Tl 0.174 0.674 0.500
Cd 0.000 0.000 0.500
Rh 0.130 0.370 0.500


# 4
The following is a GGA-PBE calculation of Pm2Dy7Er2 after structural relaxation, from the Alexandria database.

Values from the calculation:
**Relative energy among the computed polymorphs**: 34 meV/atom
**Crystal system**: monoclinic

Lattice parameters (Å, degrees): 11.223 11.477 6.059 90.00 113.59 90.00
Space group C2/m (No. 12)
Inequivalent atoms, fractional coordinates:
Pm 0.088 0.000 0.304
Dy 0.000 0.500 0.500
Dy 0.175 0.263 0.679
Dy 0.228 0.500 0.082
Er 0.000 0.285 0.000


# 5
The following is a GGA-PBE calculation of LuThFeRu after structural relaxation, from the Alexandria database.

Values from the calculation:
**Crystal system**: cubic
**VASP energy**: -0.5603 Ry/atom

Lattice parameters (Å, degrees): 6.821 6.821 6.821 90.00 90.00 90.00
Space group F-43m (No. 216)
Inequivalent atoms, fractional coordinates:
Lu 0.000 0.000 0.000
Th 0.000 0.000 0.500
Fe 0.250 0.250 0.250
Ru 0.250 0.250 0.750


# 6
The following is a GGA-PBE calculation of UCu4Pb after structural relaxation, from the Alexandria database.

Values from the calculation:
**Crystal system**: cubic
**VASP energy**: -0.3683 Ry/atom

Lattice parameters (Å, degrees): 7.430 7.430 7.430 90.00 90.00 90.00
Space group F-43m (No. 216)
Inequivalent atoms, fractional coordinates:
U 0.000 0.000 0.000
Cu 0.126 0.126 0.374
Pb 0.250 0.250 0.750


What is the formula in the fifth record? LuThFeRu


Which formula does entry 3 have? Pr5Tl2CdRh2